First-principles (PBE-GGA) data for a relaxed structure of Hg2Pb2I, as listed in Alexandria.

Output
For the size of the total moment, the calculation gives 0.00 μB per formula unit. The value obtained for the uncorrected formation energy is -0.03 eV per formula unit. Its volume is 159.7 Å³/cell. The relative energy among the computed polymorphs comes out at 58.3 meV per atom.

Cell: 4.435 4.435 8.706 Å, 75.24 75.24 90.00°
Fractional positions:
Pb1 0.397 0.397 0.206
Pb2 0.603 0.603 0.794
I1 0.000 0.000 0.000
Hg1 0.750 0.250 0.500
Hg2 0.250 0.750 0.500

=====

First-principles (PBE-GGA) data for a relaxed structure of Ac4OsAuBr2, as listed in Alexandria.

Output
For the size of the total moment, the calculation gives 0.00 μB per formula unit. The value obtained for the uncorrected formation energy is -7.59 eV per formula unit. Its volume is 283.5 Å³/cell.

Cell: 4.446 7.741 8.636 Å, 107.44 90.00 90.00°
Fractional positions:
Ac1 0.500 0.254 0.199
Ac2 0.500 0.746 0.801
Ac3 0.000 0.282 0.804
Ac4 0.000 0.718 0.196
Os1 0.500 0.500 0.000
Au1 0.000 0.000 0.000
Br1 0.500 0.000 0.500
Br2 0.000 0.500 0.500

=====

First-principles (PBE-GGA) data for a relaxed structure of KCd2NiHg, as listed in Alexandria.

Output
For the size of the total moment, the calculation gives 0.00 μB per formula unit. The formation enthalpy at 0 K is -62 meV/atom. Its volume is 135.2 Å³/cell.

Cell: 5.113 5.113 5.174 Å, 90.00 90.00 90.00°
Fractional positions:
Ni1 0.000 0.000 0.000
K1 0.500 0.500 0.500
Hg1 0.000 0.000 0.500
Cd1 0.000 0.500 0.000
Cd2 0.500 0.000 0.000

=====

First-principles (PBE-GGA) data for a relaxed structure of Ac2PuAl3Ga12, as listed in Alexandria.

Output
For the size of the total moment, the calculation gives 6.27 μB per formula unit. The formation enthalpy at 0 K is -84 meV/atom. Its volume is 409.3 Å³/cell.

Cell: 11.173 11.173 11.173 Å, 34.98 34.98 34.98°
Fractional positions:
Ac1 0.640 0.640 0.640
Ac2 0.360 0.360 0.360
Pu1 0.000 0.000 0.000
Al1 0.500 0.000 0.000
Al2 0.000 0.500 0.000
Al3 0.000 0.000 0.500
Ga1 0.410 0.410 0.818
Ga2 0.923 0.923 0.371
Ga3 0.371 0.923 0.923
Ga4 0.818 0.410 0.410
Ga5 0.923 0.371 0.923
Ga6 0.410 0.818 0.410
Ga7 0.590 0.590 0.182
Ga8 0.077 0.077 0.629
Ga9 0.629 0.077 0.077
Ga10 0.182 0.590 0.590
Ga11 0.077 0.629 0.077
Ga12 0.590 0.182 0.590

=====

First-principles (PBE-GGA) data for a relaxed structure of PtSe5, as listed in Alexandria.

Output
For the size of the total moment, the calculation gives 0.00 μB per formula unit. The value obtained for the uncorrected formation energy is 2.91 eV per formula unit. Its volume is 119.5 Å³/cell. The relative energy among the computed polymorphs comes out at 594.4 meV per atom.

Cell: 3.286 3.286 11.067 Å, 90.00 90.00 90.00°
Fractional positions:
Pt1 0.500 0.500 0.000
Se1 0.000 0.000 0.862
Se2 0.000 0.000 0.138
Se3 0.500 0.500 0.655
Se4 0.500 0.500 0.345
Se5 0.000 0.000 0.500

=====

First-principles (PBE-GGA) data for a relaxed structure of MgMn2Tc, as listed in Alexandria.

Output
For the size of the total moment, the calculation gives 4.05 μB per formula unit. The formation enthalpy at 0 K is 274 meV/atom. Its volume is 56.2 Å³/cell.

Cell: 4.233 2.652 5.092 Å, 79.43 90.00 90.00°
Fractional positions:
Mg1 0.500 0.733 0.762
Mn1 0.000 0.030 0.001
Mn2 0.500 0.262 0.267
Tc1 0.000 0.475 0.470